No. 1
A geometry-optimized La5TbPm2Th structure, computed with PBE-GGA.

Energy of formation, eV/atom: 0.121
Final energy, eV per atom: -5.011

Cell: 5.564 11.356 10.637 Å, 90.00 90.00 104.18°
Atoms (fractional coordinates):
Th 0.210 0.420 0.008
Th 0.790 0.580 0.508
La 0.000 0.999 0.508
La 0.724 0.448 0.200
La 0.630 0.260 0.508
La 0.000 0.001 0.008
La 0.724 0.448 0.817
La 0.370 0.740 0.008
La 0.276 0.552 0.700
La 0.276 0.552 0.317
La 0.500 0.000 0.758
La 0.500 0.000 0.258
Pm 0.888 0.776 0.261
Pm 0.112 0.224 0.255
Pm 0.112 0.224 0.761
Pm 0.888 0.776 0.755
Tb 0.397 0.795 0.508
Tb 0.603 0.205 0.008

No. 2
A geometry-optimized TmIn2Cu6 structure, computed with PBE-GGA.

Energy of formation, eV/atom: -0.015
Final energy, eV per atom: -3.852

Cell: 3.489 7.442 7.442 Å, 55.39 76.44 76.44°
Atoms (fractional coordinates):
Cu 0.500 0.677 0.323
Cu 0.676 0.005 0.643
Cu 0.676 0.643 0.005
Cu 0.324 0.357 0.995
Cu 0.324 0.995 0.357
Cu 0.500 0.323 0.677
In 0.860 0.640 0.640
In 0.140 0.360 0.360
Tm 0.000 0.000 0.000

No. 3
A geometry-optimized GdHo2Sb structure, computed with PBE-GGA.

Energy above the most stable polymorph in this dataset, kJ/mol of formula units: 8
Energy relative to the elements, uncorrected, eV per atom: -0.47
Final energy, eV per atom: -7.310

Cell: 4.010 4.010 7.153 Å, 90.00 90.00 90.00°
Last column: magnetic moment on the atom in μB.
Atoms (fractional coordinates):
Ho 0.000 0.000 0.776  0.24
Ho 0.000 0.000 0.224  0.24
Gd 0.500 0.500 0.500  7.34
Sb 0.500 0.500 0.000  -0.01

No. 4
A geometry-optimized CaAcY2 structure, computed with PBE-GGA.

Energy above the most stable polymorph in this dataset, kJ/mol of formula units: 0
Energy of formation, eV/atom: 0.083
Final energy, eV per atom: -4.677

Cell: 3.750 3.750 12.350 Å, 81.27 81.27 60.00°
Atoms (fractional coordinates):
Ca 0.500 0.500 0.499
Ac 0.666 0.666 0.001
Y 0.251 0.251 0.246
Y 0.082 0.082 0.754

No. 5
A geometry-optimized BaOs2Rh structure, computed with PBE-GGA.

Energy above the most stable polymorph in this dataset, kJ/mol of formula units: 202
Energy of formation, eV/atom: 0.836
Final energy, eV per atom: -7.097

Cell: 4.905 4.905 9.438 Å, 74.94 74.94 90.00°
Atoms (fractional coordinates):
Rh 0.250 0.750 0.500
Rh 0.500 0.500 0.000
Os 0.384 0.125 0.250
Os 0.375 0.616 0.750
Os 0.366 0.625 0.250
Os 0.875 0.634 0.750
Ba 0.000 0.000 0.000
Ba 0.750 0.250 0.500

No. 6
A geometry-optimized ThPd2Pb structure, computed with PBE-GGA.

Energy of formation, eV/atom: -0.401
Final energy, eV per atom: -5.780

Cell: 3.483 5.257 5.257 Å, 90.65 90.00 90.00°
Atoms (fractional coordinates):
Pb 0.500 0.252 0.748
Pd 0.500 0.377 0.246
Pd 0.500 0.754 0.623
Th 0.000 0.831 0.169

No. 7
A geometry-optimized ZnAs2Rh structure, computed with PBE-GGA.

Energy of formation, eV/atom: -0.069
Final energy, eV per atom: -4.550

Cell: 3.036 3.036 7.237 Å, 90.00 90.00 90.05°
Atoms (fractional coordinates):
As 0.000 0.000 0.028
As 0.000 0.000 0.472
Rh 0.500 0.500 0.250
Zn 0.500 0.500 0.750

No. 8
A geometry-optimized Mg3RhN structure, computed with PBE-GGA.

Energy above the most stable polymorph in this dataset, kJ/mol of formula units: 0
Energy relative to the elements, uncorrected, eV per atom: -0.39
Final energy, eV per atom: -4.484

Cell: 4.196 4.196 4.196 Å, 90.00 90.00 90.00°
Atoms (fractional coordinates):
N 0.000 0.000 0.000
Mg 0.000 0.000 0.500
Mg 0.500 0.000 0.000
Mg 0.000 0.500 0.000
Rh 0.500 0.500 0.500

No. 9
A geometry-optimized BiAuS6 structure, computed with PBE-GGA.

Energy relative to the elements, uncorrected, eV per atom: 0.12
Final energy, eV per atom: -3.866

Cell: 4.190 7.921 7.661 Å, 104.63 71.13 68.57°
Atoms (fractional coordinates):
Bi 0.500 0.500 0.500
S 0.858 0.494 0.769
S 0.733 0.110 0.356
S 0.493 0.250 0.977
S 0.142 0.506 0.231
S 0.507 0.750 0.023
S 0.267 0.890 0.644
Au 0.000 0.000 0.000

No. 10
A geometry-optimized PmU2Te6 structure, computed with PBE-GGA.

Energy relative to the elements, uncorrected, eV per atom: -0.46
Final energy, eV per atom: -5.593

Cell: 5.737 5.737 11.776 Å, 104.10 104.10 90.00°
Last column: magnetic moment on the atom in μB.
Atoms (fractional coordinates):
Te 0.676 0.676 0.815  -0.15
Te 0.861 0.324 0.185  -0.15
Te 0.324 0.861 0.185  -0.15
Te 0.750 0.250 0.500  -0.09
Te 0.139 0.139 0.815  -0.15
Te 0.250 0.750 0.500  -0.09
U 0.191 0.191 0.381  2.13
U 0.809 0.809 0.619  2.13
Pm 0.500 0.500 0.000  -0.05

No. 11
A geometry-optimized VReW6 structure, computed with PBE-GGA.

Energy above the most stable polymorph in this dataset, kJ/mol of formula units: 0
Energy of formation, eV/atom: -0.050
Final energy, eV per atom: -12.461

Cell: 4.465 5.461 5.461 Å, 109.19 90.00 90.00°
Atoms (fractional coordinates):
Re 0.500 0.500 0.500
W 0.000 0.249 0.751
W 0.500 0.500 0.000
W 0.000 0.753 0.753
W 0.000 0.751 0.249
W 0.500 0.000 0.500
W 0.000 0.247 0.247
V 0.500 0.000 0.000

No. 12
A geometry-optimized ReSn3Se structure, computed with PBE-GGA.

Energy above the most stable polymorph in this dataset, kJ/mol of formula units: 0
Energy relative to the elements, uncorrected, eV per atom: 0.26
Final energy, eV per atom: -5.332

Cell: 5.181 5.181 5.181 Å, 90.00 90.00 90.00°
Last column: magnetic moment on the atom in μB.
Atoms (fractional coordinates):
Sn 0.000 0.500 0.000  0.01
Sn 0.000 0.000 0.500  0.05
Sn 0.500 0.000 0.000  0.00
Se 0.500 0.500 0.500  0.19
Re 0.000 0.000 0.000  0.18

> The highest final energy belongs to which entry?

TmIn2Cu6